(1)
# SmDyYEr2

SmDyYEr2 after structural relaxation (PBE, Alexandria).

V = 171.11 Å³/f.u.
density of states at the Fermi level = 1.43 states/eV/atom
energy = -0.3379 Ry/atom
magnetization = 0.000 μB/f.u.

a b c (Å): 8.336 11.442 7.177
angles (deg): 90.00 90.00 90.00
Space group Cmcm (No. 63)
One atom of each set of equivalent atoms:
Sm (0.000, 0.220, 0.250) (multiplicity 4)
Dy (0.000, 0.488, 0.250) (multiplicity 4)
Y (0.000, 0.230, 0.750) (multiplicity 4)
Er (0.190, 0.000, 0.000) (multiplicity 8)

***

(2)
# Sm6DyY2Er

Sm6DyY2Er after structural relaxation (PBE, Alexandria).

V = 333.49 Å³/f.u.
density of states at the Fermi level = 1.43 states/eV/atom
energy = -0.3616 Ry/atom
magnetization = 0.000 μB/f.u.

a b c (Å): 9.232 15.214 9.565
angles (deg): 90.00 96.84 90.00
Space group C2/c (No. 15)
One atom of each set of equivalent atoms:
Sm (0.061, 0.180, 0.444) (multiplicity 8)
Sm (0.098, 0.390, 0.618) (multiplicity 8)
Sm (0.211, 0.224, 0.813) (multiplicity 8)
Dy (0.000, 0.028, 0.750) (multiplicity 4)
Y (0.249, 0.451, 0.954) (multiplicity 8)
Er (0.000, 0.410, 0.250) (multiplicity 4)

***

(3)
# SmDyY2Er

SmDyY2Er after structural relaxation (PBE, Alexandria).

V = 173.38 Å³/f.u.
density of states at the Fermi level = 1.44 states/eV/atom
energy = -0.3647 Ry/atom
magnetization = 0.000 μB/f.u.

a b c (Å): 8.405 11.430 7.219
angles (deg): 90.00 90.00 90.00
Space group Cmcm (No. 63)
One atom of each set of equivalent atoms:
Sm (0.000, 0.227, 0.250) (multiplicity 4)
Dy (0.000, 0.497, 0.250) (multiplicity 4)
Y (0.191, 0.000, 0.000) (multiplicity 8)
Er (0.000, 0.225, 0.750) (multiplicity 4)

***

(4)
# Sm2Dy3Y6Er

Sm2Dy3Y6Er after structural relaxation (PBE, Alexandria).

V = 384.85 Å³/f.u.
density of states at the Fermi level = 1.39 states/eV/atom
energy = -0.4065 Ry/atom
magnetization = 0.000 μB/f.u.

a b c (Å): 6.182 10.697 11.819
angles (deg): 90.00 99.98 90.00
Space group C2/m (No. 12)
One atom of each set of equivalent atoms:
Sm (0.000, 0.167, 0.000) (multiplicity 4)
Dy (0.000, 0.000, 0.500) (multiplicity 2)
Dy (0.000, 0.334, 0.500) (multiplicity 4)
Y (0.249, 0.500, 0.749) (multiplicity 4)
Y (0.250, 0.166, 0.749) (multiplicity 8)
Er (0.000, 0.500, 0.000) (multiplicity 2)